Material: TcWNO2
Method: DFT, GGA+U
State: optimized geometry

Calculated values
density of states at the Fermi level = 1.35 states/eV/f.u.
spin magnetization = 0.966 μB/atom
E = -7.32 eV per atom

```
data_TcWNO2
_cell_length_a 3.948
_cell_length_b 3.948
_cell_length_c 4.052
_cell_angle_alpha 90.00
_cell_angle_beta 90.00
_cell_angle_gamma 90.00
_space_group_name_H-M_alt 'P 1'
_space_group_IT_number 1
loop_
_space_group_symop_operation_xyz
'x,y,z'
loop_
_atom_site_label
_atom_site_type_symbol
_atom_site_fract_x
_atom_site_fract_y
_atom_site_fract_z
Tc1 Tc 0.000 0.000 0.000
W1 W 0.500 0.500 0.500
N1 N 0.500 0.500 0.000
O1 O 0.000 0.500 0.500
O2 O 0.500 0.000 0.500
```